Record 1
CsMgPC | GGA-PBE | relaxed

Cell lengths 3.939, 3.939, 7.151 Å; angles 90.21, 90.21, 59.34 degrees
Fractional positions:
Cs 0.000 0.000 0.000
Mg 0.335 0.335 0.420
P 0.667 0.667 0.614
C 0.666 0.666 0.369

Summary:
Formation energy (eV/atom): 0.256
Total magnetic moment (Bohr magnetons per cell): 0.00
Electronic total energy (eV per atom): -4.015



Record 2
NdTlP2O8 | GGA-PBE | relaxed

Cell lengths 5.181, 5.181, 7.299 Å; angles 90.00, 90.00, 120.00 degrees
Fractional positions:
Nd 0.000 0.000 0.000
Tl 0.000 0.000 0.500
P 0.333 0.667 0.788
P 0.667 0.333 0.212
O 0.122 0.341 0.724
O 0.219 0.878 0.724
O 0.333 0.667 0.998
O 0.341 0.219 0.276
O 0.659 0.781 0.724
O 0.667 0.333 0.002
O 0.781 0.122 0.276
O 0.878 0.659 0.276

Summary:
Total magnetic moment (Bohr magnetons per cell): 0.00
Raw formation energy (eV per atom): -2.20
Electronic total energy (eV per atom): -7.000